Record 1
A relaxed PmSc6Se8 crystal. Source: the Alexandria database, functional PBE.

a = 7.769 Å, b = 7.769 Å, c = 7.769 Å
α = 60.00°, β = 60.00°, γ = 60.00°
Element x y z (fractional)
1 Se 0.265 0.735 0.265
2 Se 0.735 0.265 0.265
3 Se 0.265 0.735 0.735
4 Se 0.250 0.250 0.250
5 Se 0.735 0.735 0.265
6 Se 0.265 0.265 0.735
7 Se 0.750 0.750 0.750
8 Se 0.735 0.265 0.735
9 Sc 0.500 0.000 0.500
10 Sc 0.000 0.500 0.500
11 Sc 0.500 0.000 0.000
12 Sc 0.000 0.000 0.500
13 Sc 0.500 0.500 0.000
14 Sc 0.000 0.500 0.000
15 Pm 0.000 0.000 0.000

Calculated values
Space-group type: Fm-3m, No. 225
Raw formation energy (eV per formula unit): -25.11

Record 2
A relaxed PmScSe crystal. Source: the Alexandria database, functional PBE.

a = 4.140 Å, b = 4.651 Å, c = 4.651 Å
α = 120.00°, β = 90.00°, γ = 90.00°
Element x y z (fractional)
1 Se 0.242 0.333 0.667
2 Sc 0.142 0.000 0.000
3 Pm 0.616 0.667 0.333

Calculated values
Space-group type: P3m1, No. 156
Raw formation energy (eV per formula unit): -2.11
Excess energy over the best structure of this formula in the dataset (meV/atom): 382

Record 3
A relaxed PmSc2Se3 crystal. Source: the Alexandria database, functional PBE.

a = 3.956 Å, b = 5.674 Å, c = 6.934 Å
α = 114.15°, β = 106.57°, γ = 90.00°
Element x y z (fractional)
1 Se 0.500 0.000 0.500
2 Se 0.183 0.683 0.866
3 Se 0.817 0.317 0.134
4 Sc 0.156 0.156 0.811
5 Sc 0.844 0.844 0.189
6 Pm 0.500 0.500 0.500

Calculated values
Space-group type: Immm, No. 71
Raw formation energy (eV per formula unit): -9.86
Excess energy over the best structure of this formula in the dataset (meV/atom): 0

Record 4
A relaxed PmSc3Se4 crystal. Source: the Alexandria database, functional PBE.

a = 5.632 Å, b = 5.632 Å, c = 5.632 Å
α = 90.00°, β = 90.00°, γ = 90.00°
Element x y z (fractional)
1 Se 0.000 0.000 0.500
2 Se 0.500 0.500 0.500
3 Se 0.000 0.500 0.000
4 Se 0.500 0.000 0.000
5 Sc 0.500 0.000 0.500
6 Sc 0.500 0.500 0.000
7 Sc 0.000 0.500 0.500
8 Pm 0.000 0.000 0.000

Calculated values
Space-group type: Pm-3m, No. 221
Raw formation energy (eV per formula unit): -12.65
Excess energy over the best structure of this formula in the dataset (meV/atom): 60

Record 5
A relaxed PmSc3Se6 crystal. Source: the Alexandria database, functional PBE.

a = 3.964 Å, b = 11.224 Å, c = 11.445 Å
α = 109.60°, β = 90.00°, γ = 90.00°
Element x y z (fractional)
1 Se 0.250 0.269 0.730
2 Se 0.250 0.609 0.942
3 Se 0.750 0.122 0.467
4 Se 0.750 0.917 0.089
5 Se 0.250 0.878 0.533
6 Se 0.750 0.477 0.614
7 Se 0.750 0.731 0.270
8 Se 0.250 0.523 0.386
9 Se 0.750 0.797 0.750
10 Se 0.750 0.391 0.058
11 Se 0.250 0.083 0.911
12 Se 0.250 0.203 0.250
13 Sc 0.750 0.681 0.499
14 Sc 0.250 0.841 0.912
15 Sc 0.250 0.319 0.501
16 Sc 0.250 0.557 0.163
17 Sc 0.750 0.443 0.837
18 Sc 0.750 0.159 0.088
19 Pm 0.750 0.050 0.701
20 Pm 0.250 0.950 0.299

Calculated values
Space-group type: P2_1/m, No. 11
Raw formation energy (eV per formula unit): -17.35

Record 6
A relaxed Pm3ScSe6 crystal. Source: the Alexandria database, functional PBE.

a = 6.895 Å, b = 7.608 Å, c = 10.392 Å
α = 90.00°, β = 91.99°, γ = 90.00°
Element x y z (fractional)
1 Se 0.161 0.310 0.074
2 Se 0.339 0.810 0.426
3 Se 0.661 0.190 0.574
4 Se 0.153 0.051 0.762
5 Se 0.839 0.690 0.926
6 Se 0.347 0.551 0.738
7 Se 0.847 0.949 0.238
8 Se 0.318 0.825 0.077
9 Se 0.653 0.449 0.262
10 Se 0.682 0.175 0.923
11 Se 0.182 0.325 0.423
12 Se 0.818 0.675 0.577
13 Pm 0.045 0.606 0.244
14 Pm 0.455 0.106 0.256
15 Pm 0.545 0.894 0.744
16 Pm 0.500 0.500 0.000
17 Pm 0.955 0.394 0.756
18 Pm 0.000 0.000 0.500
19 Sc 0.500 0.500 0.500
20 Sc 0.000 0.000 0.000

Calculated values
Space-group type: P2_1/c, No. 14
Raw formation energy (eV per formula unit): -18.11
Excess energy over the best structure of this formula in the dataset (meV/atom): 11

Record 7
A relaxed Pm2ScSe3 crystal. Source: the Alexandria database, functional PBE.

a = 4.006 Å, b = 4.006 Å, c = 21.090 Å
α = 90.00°, β = 90.00°, γ = 120.00°
Element x y z (fractional)
1 Se 0.333 0.667 0.173
2 Se 0.000 0.000 0.500
3 Se 0.333 0.667 0.327
4 Se 0.667 0.333 0.673
5 Se 0.000 0.000 0.000
6 Se 0.667 0.333 0.827
7 Sc 0.000 0.000 0.750
8 Sc 0.000 0.000 0.250
9 Pm 0.333 0.667 0.585
10 Pm 0.667 0.333 0.085
11 Pm 0.333 0.667 0.915
12 Pm 0.667 0.333 0.415

Calculated values
Space-group type: P6_3/mmc, No. 194
Raw formation energy (eV per formula unit): -10.16
Excess energy over the best structure of this formula in the dataset (meV/atom): 0

Record 8
A relaxed Pm3Sc2Se6 crystal. Source: the Alexandria database, functional PBE.

a = 4.028 Å, b = 4.028 Å, c = 20.615 Å
α = 84.39°, β = 84.39°, γ = 60.00°
Element x y z (fractional)
1 Sc 0.450 0.450 0.650
2 Sc 0.550 0.550 0.350
3 Se 0.196 0.196 0.412
4 Se 0.637 0.637 0.088
5 Se 0.089 0.089 0.733
6 Se 0.804 0.804 0.588
7 Se 0.911 0.911 0.267
8 Se 0.363 0.363 0.912
9 Pm 0.725 0.725 0.825
10 Pm 0.000 0.000 0.000
11 Pm 0.275 0.275 0.175

Calculated values
Space-group type: R-3m, No. 166
Raw formation energy (eV per formula unit): -19.01

Record 9
A relaxed PmScSe crystal. Source: the Alexandria database, functional PBE.

a = 4.134 Å, b = 4.134 Å, c = 8.165 Å
α = 90.00°, β = 90.00°, γ = 90.00°
Last column: magnetic moment on the atom in μB.
Element x y z (fractional)
1 Sc 0.500 0.500 0.500  0.24
2 Sc 0.000 0.000 0.500  0.24
3 Se 0.500 0.000 0.753  0.00
4 Se 0.000 0.500 0.247  0.00
5 Pm 0.000 0.500 0.857  -0.01
6 Pm 0.500 0.000 0.143  -0.01

Calculated values
Space-group type: P4/nmm, No. 129
Raw formation energy (eV per formula unit): -3.26
Excess energy over the best structure of this formula in the dataset (meV/atom): 0

Record 10
A relaxed PmSc2Se4 crystal. Source: the Alexandria database, functional PBE.

a = 3.918 Å, b = 6.697 Å, c = 13.388 Å
α = 90.00°, β = 90.00°, γ = 107.01°
Element x y z (fractional)
1 Sc 0.129 0.257 0.065
2 Sc 0.871 0.743 0.565
3 Sc 0.871 0.743 0.935
4 Sc 0.129 0.257 0.435
5 Se 0.229 0.457 0.884
6 Se 0.500 0.000 0.500
7 Se 0.229 0.457 0.616
8 Se 0.500 0.000 0.000
9 Se 0.771 0.543 0.116
10 Se 0.952 0.903 0.750
11 Se 0.048 0.097 0.250
12 Se 0.771 0.543 0.384
13 Pm 0.378 0.755 0.250
14 Pm 0.622 0.245 0.750

Calculated values
Space-group type: Cmcm, No. 63
Raw formation energy (eV per formula unit): -12.34

Record 11
A relaxed PmSc5Se6 crystal. Source: the Alexandria database, functional PBE.

a = 6.811 Å, b = 6.811 Å, c = 6.813 Å
α = 99.52°, β = 99.52°, γ = 120.21°
Element x y z (fractional)
1 Sc 0.846 0.154 0.500
2 Sc 0.336 0.664 0.000
3 Sc 0.500 0.500 0.500
4 Sc 0.664 0.336 0.000
5 Sc 0.154 0.846 0.500
6 Se 0.914 0.563 0.739
7 Se 0.265 0.265 0.746
8 Se 0.437 0.086 0.261
9 Se 0.086 0.437 0.261
10 Se 0.563 0.914 0.739
11 Se 0.735 0.735 0.254
12 Pm 0.000 0.000 0.000

Calculated values
Space-group type: C2/m, No. 12
Raw formation energy (eV per formula unit): -19.44

Record 12
A relaxed Pm4ScSe5 crystal. Source: the Alexandria database, functional PBE.

a = 4.141 Å, b = 4.141 Å, c = 14.967 Å
α = 97.95°, β = 97.95°, γ = 90.00°
Element x y z (fractional)
1 Se 0.297 0.297 0.594
2 Se 0.093 0.093 0.186
3 Se 0.703 0.703 0.406
4 Se 0.907 0.907 0.814
5 Se 0.500 0.500 0.000
6 Sc 0.000 0.000 0.000
7 Pm 0.399 0.399 0.798
8 Pm 0.601 0.601 0.202
9 Pm 0.806 0.806 0.612
10 Pm 0.194 0.194 0.388

Calculated values
Space-group type: I4/mmm, No. 139
Raw formation energy (eV per formula unit): -17.57
Excess energy over the best structure of this formula in the dataset (meV/atom): 18

no.,total DFT energy (no corrections) (eV per atom)
1,-6.38
2,-5.56
3,-6.29
4,-6.29
5,-6.20
6,-5.96
7,-6.08
8,-6.08
9,-5.94
10,-6.24
11,-6.40
12,-6.03